NaBeB3O6 (PBE, optimized geometry); SG = Pna2_1, No. 33; electronic total energy = -81.92 eV per formula unit; E_form (uncorrected) = -2.46 eV per atom
1.0
-3.761 -0.586 -2.418
4.180 -6.572 -4.909
-3.804 -8.349 7.938
O B Na Be
24 12 4 4
Cartesian
-1.779 -9.631 0.967
-1.442 -9.371 3.248
-1.237 -9.567 -1.342
-0.069 -4.343 -3.515
-4.881 -9.232 2.990
-1.533 -4.082 0.740
-3.237 -2.633 0.204
-3.788 -6.551 3.432
1.021 -6.348 -2.684
-2.424 -11.430 2.492
-1.193 -6.019 -2.155
2.474 -4.987 -4.018
-1.856 -10.936 5.065
-2.326 -11.498 -0.434
-3.422 -6.158 -1.524
-0.529 -7.681 -5.654
-1.501 -5.838 2.370
-3.615 -4.254 1.979
0.602 -12.757 0.889
-4.672 -8.108 5.097
-1.336 -9.226 -3.939
-5.211 -10.418 5.046
1.691 -11.025 -0.429
-2.700 -4.347 -2.999
-0.379 -8.713 -4.718
1.271 -11.550 0.756
-2.833 -3.672 1.027
-1.906 -10.227 2.229
-2.472 -5.434 -2.256
-4.000 -6.948 4.690
-1.772 -10.214 -0.300
2.245 -6.115 -3.335
-1.480 -9.715 4.590
-0.918 -5.184 1.358
-0.082 -5.507 -2.807
-4.934 -9.283 4.393
-0.797 -2.310 -0.671
0.269 -7.843 -0.989
-2.917 -13.247 1.071
-3.983 -7.715 1.389
-2.857 -5.297 3.065
-1.028 -10.287 -2.775
-1.517 -3.488 -3.661
-2.368 -12.096 3.951



Na2BeBP (PBE, optimized geometry); SG = P4/mmm, No. 123; energy relative to the elements = 0.651 eV per atom; electronic total energy = -15.20 eV per formula unit
1.0
5.133 0.000 0.000
0.000 3.562 0.000
0.000 0.000 5.133
Na Be P B
2 1 1 1
Cartesian
0.000 0.000 2.566
2.566 0.000 0.000
0.000 1.781 0.000
2.566 1.781 2.566
0.000 0.000 0.000



Na2BeB2Pt5 (PBE, optimized geometry); SG = P4/mbm, No. 127; energy relative to the elements = -0.387 eV per atom; electronic total energy = -53.79 eV per formula unit
1.0
-0.900 2.617 0.526
-9.157 -2.789 -1.782
-1.135 -2.279 9.398
Na Pt B Be
4 10 4 2
Cartesian
-6.407 -2.295 0.462
-1.992 -1.230 2.713
-8.299 -3.838 4.903
-3.885 -2.773 7.154
-2.423 0.583 0.498
-8.768 -3.034 7.644
-5.028 -0.086 -0.628
-7.423 -1.658 3.096
-4.771 -0.573 2.236
-1.939 -0.677 7.596
-3.768 -0.793 5.046
-9.253 -1.774 0.546
-6.421 -1.878 5.907
-1.017 0.169 4.962
-8.390 -3.272 1.929
-3.538 -1.329 0.559
-1.902 -1.797 5.687
-6.754 -3.740 7.057
-5.146 -2.534 3.808
0.000 0.000 0.000



Na2BeBRh (PBE, optimized geometry); SG = P4/mmm, No. 123; energy relative to the elements = 0.932 eV per atom; electronic total energy = -15.73 eV per formula unit
1.0
-3.003 1.910 -3.437
1.374 -2.156 -2.399
-3.420 -3.402 1.097
B Na Be Rh
1 2 1 1
Cartesian
0.687 -1.078 -1.200
-1.502 0.955 -1.718
-1.710 -1.701 0.549
0.000 0.000 0.000
-2.525 -1.824 -2.369



Na2BeBRu (PBE, optimized geometry); SG = P4/mmm, No. 123; energy relative to the elements = 1.235 eV per atom; electronic total energy = -16.14 eV per formula unit
1.0
-4.011 1.874 2.481
-1.496 -3.148 -0.040
2.219 -1.111 4.427
Na Be B Ru
2 1 1 1
Cartesian
1.110 -0.555 2.213
-2.005 0.937 1.240
0.000 0.000 0.000
-0.748 -1.574 -0.020
-1.644 -1.192 3.434



NaBeB2S4 (PBE, optimized geometry); SG = Fmm2, No. 42; electronic total energy = -36.75 eV per formula unit; E_form (uncorrected) = -0.23 eV per atom
1.0
4.986 -0.101 0.000
-0.514 4.961 0.000
-2.236 -2.430 4.971
S Be B Na
4 1 2 1
Cartesian
1.056 3.516 1.420
3.417 1.344 1.420
-1.032 -1.121 3.441
1.032 1.121 3.441
0.000 0.000 4.886
-0.257 2.480 2.536
2.493 -0.050 2.536
0.000 0.000 0.207



NaBe2BSe4 (PBE, optimized geometry); SG = Fmm2, No. 42; electronic total energy = -33.73 eV per formula unit; E_form (uncorrected) = -0.54 eV per atom
1.0
-2.993 4.693 -1.160
-4.661 -3.166 -0.763
2.773 -0.309 5.519
Se Na B Be
4 1 1 2
Cartesian
0.803 0.019 3.743
-3.764 2.502 0.168
-2.351 0.648 2.950
-4.451 -0.734 0.332
-0.001 0.000 0.005
-1.054 0.454 4.558
-2.858 -1.356 1.897
-2.024 2.574 1.699



NaBeSnB2 (PBE, optimized geometry); SG = P4/mmm, No. 123; energy relative to the elements = 1.643 eV per atom; electronic total energy = -14.19 eV per formula unit
1.0
4.665 0.000 0.000
0.000 4.672 0.000
0.000 0.000 4.665
Be B Na Sn
1 2 1 1
Cartesian
0.000 2.336 0.000
2.332 0.000 0.000
0.000 0.000 2.332
2.332 2.336 2.332
0.000 0.000 0.000



Na2BeBTe (PBE, optimized geometry); SG = P4/mmm, No. 123; electronic total energy = -14.71 eV per formula unit; E_form (uncorrected) = 0.29 eV per atom
1.0
5.428 0.000 0.000
0.000 3.655 0.000
0.000 0.000 5.428
Be Na Te B
1 2 1 1
Cartesian
0.000 1.828 0.000
2.714 0.000 0.000
0.000 0.000 2.714
2.714 1.828 2.714
0.000 0.000 0.000



NaBeZn2B (PBE, optimized geometry); SG = P4/mmm, No. 123; energy relative to the elements = 1.885 eV per atom; electronic total energy = -4.85 eV per formula unit
1.0
4.877 0.000 0.000
0.000 4.509 0.000
0.000 0.000 4.877
Zn Na B Be
2 1 1 1
Cartesian
0.000 0.000 2.439
2.439 0.000 0.000
0.000 0.000 0.000
0.000 2.254 0.000
2.439 2.254 2.439



BeNb3B (PBE, optimized geometry); E above lowest polymorph = 0 meV per atom; SG = Pm-3m, No. 221; energy relative to the elements = 0.184 eV per atom; electronic total energy = -39.69 eV per formula unit
1.0
-1.339 -4.090 -0.305
1.478 -0.781 3.977
-3.826 1.130 1.643
Nb Be B
3 1 1
Cartesian
0.739 -0.390 1.989
-0.670 -2.045 -0.153
-1.913 0.565 0.822
-1.844 -1.870 2.658
0.000 0.000 0.000



BeNb3B2 (PBE, optimized geometry); SG = Pnma, No. 62; energy relative to the elements = -0.537 eV per atom; electronic total energy = -50.51 eV per formula unit
1.0
-0.206 0.565 -3.238
-9.078 -2.232 0.188
-2.192 9.060 1.719
Nb Be B
12 4 8
Cartesian
-2.382 4.894 0.167
-6.660 4.748 -1.261
-2.650 2.684 -1.876
-7.880 7.596 -0.687
-3.596 -0.204 -0.644
-8.875 -0.596 -2.052
-4.816 2.645 -0.070
-6.870 0.390 -0.333
-8.826 4.709 0.544
-2.600 7.989 0.721
-9.093 2.498 -1.499
-4.606 7.003 -0.999
-4.845 5.019 0.345
-6.631 2.374 -1.677
-10.008 6.343 -0.771
-1.467 1.050 -0.561
-9.570 7.028 0.996
-7.268 2.794 0.112
-6.296 6.317 0.664
-5.179 1.075 -1.996
-4.207 4.598 -1.443
-0.771 2.876 -0.287
-10.704 4.517 -1.045
-1.906 0.365 -2.328



Be2NbB (PBE, optimized geometry); SG = Cmcm, No. 63; energy relative to the elements = -0.445 eV per atom; electronic total energy = -25.98 eV per formula unit
1.0
3.306 0.000 0.000
0.000 3.128 -0.788
0.000 0.200 7.397
Be Nb B
4 2 2
Cartesian
2.480 2.445 3.101
0.827 1.693 0.116
2.480 1.635 6.493
0.827 0.883 3.508
0.827 2.957 5.136
2.480 0.371 1.474
0.827 2.150 1.933
2.480 1.178 4.676



BeNb2B (PBE, optimized geometry); E above lowest polymorph = 295 meV per atom; SG = R-3m, No. 166; energy relative to the elements = -0.234 eV per atom; electronic total energy = -31.48 eV per formula unit
1.0
-2.170 -2.337 0.709
0.926 -2.625 1.712
-1.744 1.061 5.688
B Be Nb
1 1 2
Cartesian
0.000 0.000 0.000
-1.494 -1.951 4.054
-0.716 -1.038 1.915
-2.272 -2.864 6.194



Be2Nb2B3 (PBE, optimized geometry); SG = Cmcm, No. 63; energy relative to the elements = -0.514 eV per atom; electronic total energy = -51.22 eV per formula unit
1.0
3.188 0.000 -0.760
0.000 5.588 0.000
0.097 0.000 7.472
B Be Nb
6 4 4
Cartesian
2.531 1.397 3.550
0.754 4.191 3.162
1.768 2.324 0.351
1.517 5.118 6.361
1.517 3.264 6.361
1.768 0.470 0.351
1.069 2.397 4.485
1.069 0.397 4.485
2.215 5.191 2.227
2.215 3.192 2.227
0.508 1.397 2.130
0.192 4.191 0.807
2.777 4.191 4.581
3.092 1.397 5.904



BeNb2B (PBE, optimized geometry); E above lowest polymorph = 669 meV per atom; SG = I-42d, No. 122; energy relative to the elements = 0.141 eV per atom; electronic total energy = -29.98 eV per formula unit
1.0
-1.404 -2.290 -5.745
-1.822 -5.477 2.629
-4.130 -2.933 -1.322
Nb Be B
4 2 2
Cartesian
-2.163 -2.890 -3.694
-2.322 -4.402 0.696
-5.952 -9.093 -3.672
-4.275 -5.016 -2.207
-3.782 -6.147 -0.126
-1.613 -3.883 -1.558
-3.573 -4.553 -4.313
0.000 0.000 0.000



BeNb2B3 (PBE, optimized geometry); SG = Fmmm, No. 69; energy relative to the elements = -0.715 eV per atom; electronic total energy = -48.19 eV per formula unit
1.0
4.589 0.148 0.000
-0.031 4.591 0.000
-2.279 -2.369 5.544
Be B Nb
2 6 4
Cartesian
2.279 2.369 1.845
0.000 0.000 3.698
2.279 2.369 3.748
3.465 1.228 0.898
1.186 -1.141 4.646
-1.186 1.141 4.646
1.093 3.510 0.898
0.000 0.000 1.795
1.137 1.182 0.000
3.421 3.557 0.000
2.294 0.074 2.772
-0.015 2.295 2.772



Be5Nb4B2 (PBE, optimized geometry); SG = P2/m, No. 10; energy relative to the elements = -0.326 eV per atom; electronic total energy = -75.85 eV per formula unit
1.0
3.423 0.000 0.000
0.000 5.682 0.390
0.000 -0.070 6.462
B Be Nb
2 5 4
Cartesian
0.000 5.264 2.837
0.000 0.349 4.015
0.000 3.349 2.577
0.000 2.841 0.195
0.000 2.264 4.275
0.000 4.980 6.019
0.000 0.633 0.833
1.712 1.406 2.537
1.712 4.462 1.254
1.712 1.151 5.598
1.712 4.207 4.314



BeNbB (PBE, optimized geometry); E above lowest polymorph = 0 meV per atom; SG = Imma, No. 74; energy relative to the elements = -0.610 eV per atom; electronic total energy = -22.30 eV per formula unit
1.0
3.152 0.000 -0.100
0.000 3.392 0.000
-1.392 -1.696 5.804
B Be Nb
2 2 2
Cartesian
2.379 1.696 0.371
-0.619 0.000 5.333
-0.678 0.000 3.424
2.438 1.696 2.280
0.830 0.000 1.313
0.930 1.696 4.391



BeNbB2 (PBE, optimized geometry); SG = Amm2, No. 38; energy relative to the elements = -0.041 eV per atom; electronic total energy = -27.32 eV per formula unit
1.0
3.092 0.000 0.000
0.000 3.901 -2.233
0.000 -0.517 3.620
Be B Nb
1 2 1
Cartesian
0.000 1.261 2.203
0.000 0.335 0.586
1.546 0.665 1.162
1.546 2.851 0.456



BeNbB2 (PBE, optimized geometry); SG = I4_1/amd, No. 141; energy relative to the elements = 0.100 eV per atom; electronic total energy = -26.75 eV per formula unit
1.0
-1.709 2.377 -1.896
-3.036 -1.459 0.907
-2.698 4.367 4.700
B Be Nb
4 2 2
Cartesian
-3.212 1.071 1.032
-1.695 1.802 0.577
-5.417 4.443 2.434
-4.560 3.256 3.381
-2.372 0.459 -0.494
-4.053 1.684 2.556
-3.389 3.602 1.155
0.000 0.000 0.000



Be2Nb3B3 (PBE, optimized geometry); SG = Cmcm, No. 63; energy relative to the elements = -0.576 eV per atom; electronic total energy = -62.30 eV per formula unit
1.0
-2.355 1.029 2.048
-1.161 -4.065 -1.929
5.302 -5.787 9.006
Nb B Be
6 6 4
Cartesian
4.130 -6.213 7.872
2.516 -4.452 5.131
1.941 -7.431 5.967
-0.730 -4.371 3.994
-2.344 -2.610 1.253
-0.155 -1.392 3.158
1.751 -5.417 7.373
0.035 -3.406 1.752
3.008 -8.548 7.755
0.911 -6.259 4.193
-1.221 -0.275 1.370
0.876 -2.564 4.932
1.867 -7.121 8.363
-0.081 -1.702 0.763
1.360 -3.274 3.210
0.426 -5.549 5.915